Here is an optimized crystal structure of Cd2SnBi from Alexandria. Energies are from GGA-PBE.

Cell lengths 4.3069, 4.3069, 21.3292 Å; angles 90.00, 90.00, 120.00 degrees
Last column: nearest neighbours and their distance in Å.
Positions (direct):
Cd: 0.0000 0.0000 0.2479  3 Sn 3.03, 3 Bi 3.08
Cd: 0.0000 0.0000 0.7521  3 Sn 3.03, 3 Bi 3.08
Cd: 0.3333 0.6667 0.4188  3 Sn 3.03, 3 Bi 3.08
Cd: 0.3333 0.6667 0.9146  3 Sn 3.03, 3 Bi 3.08
Cd: 0.6667 0.3333 0.0854  3 Sn 3.03, 3 Bi 3.08
Cd: 0.6667 0.3333 0.5812  3 Sn 3.03, 3 Bi 3.08
Sn: 0.0000 0.0000 0.5000  6 Cd 3.03
Sn: 0.3333 0.6667 0.1667  6 Cd 3.03
Sn: 0.6667 0.3333 0.8333  6 Cd 3.03
Bi: 0.0000 0.0000 0.0000  6 Cd 3.08
Bi: 0.3333 0.6667 0.6667  6 Cd 3.08
Bi: 0.6667 0.3333 0.3333  6 Cd 3.08

## Properties
SG   No. 166
Volume   114.2 Å³/f.u.
Crystal system   trigonal
Density   8.033 g cm⁻³
Electronic total energy   -2.296 eV per atom

=====

Here is an optimized crystal structure of ErTmGeSe from Alexandria. Energies are from GGA-PBE.

Cell lengths 4.0844, 4.0844, 20.1381 Å; angles 90.00, 90.00, 120.00 degrees
Last column: nearest neighbours and their distance in Å.
Positions (direct):
Er: 0.0000 0.0000 0.0000  3 Ge 2.84, 3 Se 2.96
Er: 0.3333 0.6667 0.6667  3 Ge 2.84, 3 Se 2.96
Er: 0.6667 0.3333 0.3333  3 Ge 2.84, 3 Se 2.96
Tm: 0.0000 0.0000 0.5097  3 Ge 2.84, 3 Se 2.95
Tm: 0.3333 0.6667 0.1763  3 Ge 2.84, 3 Se 2.95
Tm: 0.6667 0.3333 0.8430  3 Ge 2.84, 3 Se 2.95
Ge: 0.0000 0.0000 0.2545  3 Tm 2.84, 3 Er 2.84
Ge: 0.3333 0.6667 0.9211  3 Tm 2.84, 3 Er 2.84
Ge: 0.6667 0.3333 0.5878  3 Tm 2.84, 3 Er 2.84
Se: 0.0000 0.0000 0.7553  3 Tm 2.95, 3 Er 2.96
Se: 0.3333 0.6667 0.4220  3 Tm 2.95, 3 Er 2.96
Se: 0.6667 0.3333 0.0886  3 Tm 2.95, 3 Er 2.96

## Properties
ΔE_f (raw)   -1.3535 eV/atom
SG   No. 160
Volume   97.0 Å³/f.u.
Crystal system   trigonal
Density   8.352 g cm⁻³

=====

Here is an optimized crystal structure of RbCdO2F from Alexandria. Energies are from GGA-PBE.

Cell lengths 4.2882, 4.2882, 4.7855 Å; angles 90.00, 90.00, 90.00 degrees
Last column: nearest neighbours and their distance in Å.
Positions (direct):
Rb: 0.0000 0.0000 0.0000  4 F 3.03, 8 O 3.21
Cd: 0.5000 0.5000 0.5000  4 O 2.14, 2 F 2.39
O: 0.0000 0.5000 0.5000  2 Cd 2.14
O: 0.5000 0.0000 0.5000  2 Cd 2.14
F: 0.5000 0.5000 0.0000  2 Cd 2.39

## Properties
ΔE_f (raw)   -1.0084 eV/atom
SG   No. 123
Volume   88.0 Å³/f.u.
Crystal system   tetragonal
Density   4.696 g cm⁻³